# 1
## Y2TiTl (PBE-GGA)

Data for Y2TiTl after structural relaxation.

Computed properties:
V = 104.6 Å³/cell
Energy above the lowest structure with this stoichiometry = 9 meV/atom
N(E_F) = 5.6 states/eV/f.u.

Cell: 3.5564 3.5564 8.2674 Å, 90.00 90.00 90.00°
With the nearest neighbours (Å) after each atom.
Space group P4/mmm (No. 123)
One atom of each set of equivalent atoms:
Y: 0.0000 0.0000 0.2432 (multiplicity 2)  4 Ti 3.22, 4 Tl 3.29, 4 Y 3.56
Ti: 0.5000 0.5000 0.0000 (multiplicity 1)  8 Y 3.22, 4 Ti 3.56
Tl: 0.5000 0.5000 0.5000 (multiplicity 1)  8 Y 3.29, 4 Tl 3.56

---

# 2
## YTi2Tl2 (PBE-GGA)

Data for YTi2Tl2 after structural relaxation.

Computed properties:
V = 225.9 Å³/cell
Energy above the lowest structure with this stoichiometry = 38 meV/atom
N(E_F) = 4.0 states/eV/f.u.

Cell: 8.4608 8.4608 3.1553 Å, 90.00 90.00 90.00°
With the nearest neighbours (Å) after each atom.
Space group P4/mbm (No. 127)
One atom of each set of equivalent atoms:
Y: 0.0000 0.0000 0.0000 (multiplicity 2)  2 Y 3.16, 4 Ti 3.42, 8 Tl 3.48
Ti: 0.1111 0.3889 0.0000 (multiplicity 4)  1 Ti 2.66, 2 Tl 2.93
Tl: 0.1829 0.6829 0.5000 (multiplicity 4)  6 Ti 2.93-3.01, 2 Tl 3.16

---

# 3
## YTiTl2 (PBE-GGA)

Data for YTiTl2 after structural relaxation.

Computed properties:
V = 95.8 Å³/cell
N(E_F) = 3.4 states/eV/f.u.

Cell: 3.7072 3.7072 6.9727 Å, 90.00 90.00 90.00°
With the nearest neighbours (Å) after each atom.
Space group P4/mmm (No. 123)
One atom of each set of equivalent atoms:
Y: 0.0000 0.0000 0.0000 (multiplicity 1)  8 Tl 3.25, 2 Ti 3.49
Ti: 0.0000 0.0000 0.5000 (multiplicity 1)  8 Tl 3.05
Tl: 0.5000 0.5000 0.2752 (multiplicity 2)  4 Ti 3.05, 1 Tl 3.13, 4 Y 3.25

---

# 4
## Y2TiTl (PBE-GGA)

Data for Y2TiTl after structural relaxation.

Computed properties:
V = 103.6 Å³/cell
Energy above the lowest structure with this stoichiometry = 0 meV/atom
N(E_F) = 4.2 states/eV/f.u.

Cell: 4.8910 4.8910 4.3301 Å, 90.00 90.00 90.00°
With the nearest neighbours (Å) after each atom.
Space group P4/mmm (No. 123)
One atom of each set of equivalent atoms:
Y: 0.0000 0.5000 0.0000 (multiplicity 2)  4 Tl 3.27, 4 Ti 3.27, 4 Y 3.46
Ti: 0.0000 0.0000 0.5000 (multiplicity 1)  8 Y 3.27, 4 Tl 3.46
Tl: 0.5000 0.5000 0.5000 (multiplicity 1)  8 Y 3.27, 4 Ti 3.46

---

# 5
## Y2TiTl (PBE-GGA)

Data for Y2TiTl after structural relaxation.

Computed properties:
V = 417.8 Å³/cell
Energy above the lowest structure with this stoichiometry = 17 meV/atom
N(E_F) = 3.6 states/eV/f.u.

Cell: 7.4760 7.4760 7.4760 Å, 90.00 90.00 90.00°
With the nearest neighbours (Å) after each atom.
Space group Fm-3m (No. 225)
One atom of each set of equivalent atoms:
Y: 0.2500 0.2500 0.2500 (multiplicity 8)  4 Tl 3.24, 4 Ti 3.24
Ti: 0.0000 0.0000 0.0000 (multiplicity 4)  8 Y 3.24
Tl: 0.0000 0.0000 0.5000 (multiplicity 4)  8 Y 3.24

---

# 6
## YTi2Tl2 (PBE-GGA)

Data for YTi2Tl2 after structural relaxation.

Computed properties:
V = 227.7 Å³/cell
Energy above the lowest structure with this stoichiometry = 86 meV/atom
N(E_F) = 7.4 states/eV/f.u.

Cell: 8.1385 8.1385 3.4385 Å, 90.00 90.00 90.00°
With the nearest neighbours (Å) after each atom.
Space group P4/mbm (No. 127)
One atom of each set of equivalent atoms:
Y: 0.0000 0.0000 0.0000 (multiplicity 2)  4 Tl 3.17, 2 Y 3.44, 8 Ti 3.48
Ti: 0.1680 0.3320 0.5000 (multiplicity 4)  6 Tl 2.86-3.01
Tl: 0.1335 0.6335 0.0000 (multiplicity 4)  6 Ti 2.86-3.01, 1 Tl 3.07, 2 Y 3.17

---

# 7
## YTiTl2 (PBE-GGA)

Data for YTiTl2 after structural relaxation.

Computed properties:
V = 444.2 Å³/cell
N(E_F) = 3.9 states/eV/f.u.

Cell: 4.5759 4.5759 21.2128 Å, 90.00 90.00 90.00°
With the nearest neighbours (Å) after each atom.
Space group I-42d (No. 122)
One atom of each set of equivalent atoms:
Y: 0.0000 0.0000 0.0000 (multiplicity 4)  4 Tl 3.15, 4 Ti 3.24
Ti: 0.0000 0.0000 0.5000 (multiplicity 4)  4 Tl 3.07, 4 Y 3.24
Tl: 0.2272 0.2500 0.6250 (multiplicity 8)  2 Ti 3.07, 4 Tl 3.09-3.39, 2 Y 3.15

---

# 8
## Y2TiTl (PBE-GGA)

Data for Y2TiTl after structural relaxation.

Computed properties:
V = 438.4 Å³/cell
Energy above the lowest structure with this stoichiometry = 388 meV/atom
N(E_F) = 5.2 states/eV/f.u.

Cell: 8.3371 8.3371 6.3073 Å, 90.00 90.00 90.00°
With the nearest neighbours (Å) after each atom.
Space group I-42d (No. 122)
One atom of each set of equivalent atoms:
Y: 0.2494 0.2500 0.1250 (multiplicity 8)  2 Tl 3.05, 2 Ti 3.05, 2 Y 3.15
Ti: 0.0000 0.0000 0.5000 (multiplicity 4)  4 Y 3.05, 2 Tl 3.15
Tl: 0.0000 0.0000 0.0000 (multiplicity 4)  4 Y 3.05, 2 Ti 3.15

---

# 9
## YTi2Tl2 (PBE-GGA)

Data for YTi2Tl2 after structural relaxation.

Computed properties:
V = 235.9 Å³/cell
Energy above the lowest structure with this stoichiometry = 0 meV/atom
N(E_F) = 4.7 states/eV/f.u.

Cell: 4.1739 4.1739 13.5411 Å, 90.00 90.00 90.00°
With the nearest neighbours (Å) after each atom.
Space group I4/mmm (No. 139)
One atom of each set of equivalent atoms:
Y: 0.0000 0.0000 0.0000 (multiplicity 2)  8 Tl 3.28
Ti: 0.0000 0.5000 0.2500 (multiplicity 4)  4 Tl 2.86, 4 Ti 2.95
Tl: 0.0000 0.0000 0.3940 (multiplicity 4)  4 Ti 2.86, 1 Tl 2.87

---

# 10
## YTiTl (PBE-GGA)

Data for YTiTl after structural relaxation.

Computed properties:
V = 298.9 Å³/cell
N(E_F) = 3.7 states/eV/f.u.

Cell: 3.4385 3.4385 25.2830 Å, 90.00 90.00 90.00°
With the nearest neighbours (Å) after each atom.
Space group I4/mmm (No. 139)
One atom of each set of equivalent atoms:
Y: 0.0000 0.0000 0.0692 (multiplicity 4)  4 Tl 3.22, 5 Y 3.44-3.50
Ti: 0.0000 0.0000 0.2217 (multiplicity 4)  4 Ti 2.82, 4 Tl 2.99
Tl: 0.0000 0.0000 0.3473 (multiplicity 4)  5 Ti 2.99-3.18, 4 Y 3.22

---

# 11
## YTiTl2 (PBE-GGA)

Data for YTiTl2 after structural relaxation.

Computed properties:
V = 95.8 Å³/cell
N(E_F) = 2.4 states/eV/f.u.

Cell: 4.6504 4.6504 4.4316 Å, 90.00 90.00 90.00°
With the nearest neighbours (Å) after each atom.
Space group P4/mmm (No. 123)
One atom of each set of equivalent atoms:
Y: 0.0000 0.0000 0.0000 (multiplicity 1)  8 Tl 3.21, 4 Ti 3.29
Ti: 0.5000 0.5000 0.0000 (multiplicity 1)  8 Tl 3.21, 4 Y 3.29
Tl: 0.0000 0.5000 0.5000 (multiplicity 2)  4 Ti 3.21, 4 Y 3.21, 4 Tl 3.29

---

# 12
## TiTl2Zn2 (PBE-GGA)

Data for TiTl2Zn2 after structural relaxation.

Computed properties:
V = 207.5 Å³/cell
N(E_F) = 5.2 states/eV/f.u.

Cell: 7.3490 7.3490 3.8421 Å, 90.00 90.00 90.00°
With the nearest neighbours (Å) after each atom.
Space group P4/mbm (No. 127)
One atom of each set of equivalent atoms:
Ti: 0.0000 0.0000 0.0000 (multiplicity 2)  4 Zn 2.91
Tl: 0.1802 0.3198 0.5000 (multiplicity 4)  6 Zn 2.80-2.98
Zn: 0.1243 0.6243 0.0000 (multiplicity 4)  1 Zn 2.58, 2 Tl 2.80

---

# 13
## Ti6TlZn (PBE-GGA)

Data for Ti6TlZn after structural relaxation.

Computed properties:
V = 137.6 Å³/cell
N(E_F) = 8.8 states/eV/f.u.

Cell: 4.1064 4.1064 8.1597 Å, 90.00 90.00 90.00°
With the nearest neighbours (Å) after each atom.
Space group P4/mmm (No. 123)
One atom of each set of equivalent atoms:
Ti: 0.0000 0.0000 0.0000 (multiplicity 1)  8 Ti 2.83, 4 Zn 2.90
Ti: 0.0000 0.0000 0.5000 (multiplicity 1)  4 Tl 2.90, 8 Ti 2.96
Ti: 0.0000 0.5000 0.2381 (multiplicity 4)  8 Ti 2.83-2.96, 2 Zn 2.83, 2 Tl 2.96
Tl: 0.5000 0.5000 0.5000 (multiplicity 1)  12 Ti 2.90-2.96
Zn: 0.5000 0.5000 0.0000 (multiplicity 1)  12 Ti 2.83-2.90

---

# 14
## Ti9TlZn2 (PBE-GGA)

Data for Ti9TlZn2 after structural relaxation.

Computed properties:
V = 202.3 Å³/cell
N(E_F) = 13.7 states/eV/f.u.

Cell: 4.0760 4.0760 12.1787 Å, 90.00 90.00 90.00°
With the nearest neighbours (Å) after each atom.
Space group P4/mmm (No. 123)
One atom of each set of equivalent atoms:
Ti: 0.0000 0.0000 0.0000 (multiplicity 1)  4 Tl 2.88, 8 Ti 2.96
Ti: 0.0000 0.0000 0.3378 (multiplicity 2)  8 Ti 2.83-2.84, 4 Zn 2.88
Ti: 0.0000 0.5000 0.1765 (multiplicity 4)  8 Ti 2.83-2.96, 2 Zn 2.83, 2 Tl 2.96
Ti: 0.0000 0.5000 0.5000 (multiplicity 2)  4 Zn 2.84, 8 Ti 2.84-2.88
Tl: 0.5000 0.5000 0.0000 (multiplicity 1)  12 Ti 2.88-2.96
Zn: 0.5000 0.5000 0.3381 (multiplicity 2)  12 Ti 2.83-2.88

---

# 15
## Ti2TlZn (PBE-GGA)

Data for Ti2TlZn after structural relaxation.

Computed properties:
V = 308.5 Å³/cell
N(E_F) = 4.2 states/eV/f.u.

Cell: 7.4225 7.4225 5.5990 Å, 90.00 90.00 90.00°
With the nearest neighbours (Å) after each atom.
Space group I-42d (No. 122)
One atom of each set of equivalent atoms:
Ti: 0.2321 0.2500 0.1250 (multiplicity 8)  2 Zn 2.63, 2 Tl 2.81, 2 Ti 2.81
Tl: 0.0000 0.0000 0.5000 (multiplicity 4)  2 Zn 2.80, 4 Ti 2.81
Zn: 0.0000 0.0000 0.0000 (multiplicity 4)  4 Ti 2.63, 2 Tl 2.80

---

# 16
## Ti2TlZn (PBE-GGA)

Data for Ti2TlZn after structural relaxation.

Computed properties:
V = 70.7 Å³/cell
N(E_F) = 4.0 states/eV/f.u.

Cell: 4.1160 4.1160 4.1737 Å, 90.00 90.00 90.00°
With the nearest neighbours (Å) after each atom.
Space group P4/mmm (No. 123)
One atom of each set of equivalent atoms:
Ti: 0.0000 0.5000 0.0000 (multiplicity 2)  4 Ti 2.91, 4 Tl 2.93, 4 Zn 2.93
Tl: 0.0000 0.0000 0.5000 (multiplicity 1)  4 Zn 2.91, 8 Ti 2.93
Zn: 0.5000 0.5000 0.5000 (multiplicity 1)  4 Tl 2.91, 8 Ti 2.93

---

# 17
## Ti2Tl2Zn (PBE-GGA)

Data for Ti2Tl2Zn after structural relaxation.

Computed properties:
V = 207.6 Å³/cell
N(E_F) = 3.3 states/eV/f.u.

Cell: 6.8862 6.8862 4.3789 Å, 90.00 90.00 90.00°
With the nearest neighbours (Å) after each atom.
Space group P4/mbm (No. 127)
One atom of each set of equivalent atoms:
Ti: 0.1401 0.3599 0.0000 (multiplicity 4)  2 Zn 2.66, 1 Ti 2.73, 2 Tl 2.88
Tl: 0.1675 0.6675 0.5000 (multiplicity 4)  6 Ti 2.88-3.05
Zn: 0.0000 0.0000 0.0000 (multiplicity 2)  4 Ti 2.66

---

# 18
## Ti3TlZn (PBE-GGA)

Data for Ti3TlZn after structural relaxation.

Computed properties:
V = 187.2 Å³/cell
Energy above the lowest structure with this stoichiometry = 0 meV/atom
N(E_F) = 3.3 states/eV/f.u.

Cell: 6.4724 6.4724 5.1607 Å, 90.00 90.00 120.00°
With the nearest neighbours (Å) after each atom.
Space group P6_3/mmc (No. 194)
One atom of each set of equivalent atoms:
Ti: 0.1938 0.3875 0.2500 (multiplicity 6)  2 Zn 2.53, 2 Ti 2.71
Tl: 0.3333 0.6667 0.7500 (multiplicity 2)  12 Ti 3.02-3.25
Zn: 0.0000 0.0000 0.0000 (multiplicity 2)  6 Ti 2.53, 2 Zn 2.58

---

# 19
## Ti2TlZn (PBE-GGA)

Data for Ti2TlZn after structural relaxation.

Computed properties:
V = 71.3 Å³/cell
N(E_F) = 4.2 states/eV/f.u.

Cell: 2.9565 2.9565 8.1554 Å, 90.00 90.00 90.00°
With the nearest neighbours (Å) after each atom.
Space group P4/mmm (No. 123)
One atom of each set of equivalent atoms:
Ti: 0.0000 0.0000 0.2227 (multiplicity 2)  4 Zn 2.77, 4 Ti 2.96, 4 Tl 3.08
Tl: 0.5000 0.5000 0.5000 (multiplicity 1)  4 Tl 2.96, 8 Ti 3.08
Zn: 0.5000 0.5000 0.0000 (multiplicity 1)  8 Ti 2.77, 4 Zn 2.96

---

# 20
## Ti2TlZn (PBE-GGA)

Data for Ti2TlZn after structural relaxation.

Computed properties:
V = 247.6 Å³/cell
N(E_F) = 3.8 states/eV/f.u.

Cell: 4.4092 4.4092 14.7036 Å, 90.00 90.00 120.00°
With the nearest neighbours (Å) after each atom.
Space group R3m (No. 160, hexagonal axes)
One atom of each set of equivalent atoms:
Ti: 0.0000 0.0000 0.0000 (multiplicity 3)  3 Zn 2.63, 3 Tl 2.93
Ti: 0.0000 0.0000 0.2237 (multiplicity 3)  3 Zn 2.72, 3 Ti 3.01
Tl: 0.0000 0.0000 0.4319 (multiplicity 3)  1 Zn 2.80, 4 Ti 2.93-3.06
Zn: 0.0000 0.0000 0.6222 (multiplicity 3)  6 Ti 2.63-2.72, 1 Tl 2.80

---

no.,calculated total energy (eV/atom)
1,-5.830
2,-5.328
3,-4.819
4,-5.839
5,-5.822
6,-5.280
7,-4.443
8,-5.451
9,-5.366
10,-5.541
11,-4.833
12,-2.747
13,-6.416
14,-6.390
15,-4.527
16,-4.881
17,-4.172
18,-5.230
19,-4.858
20,-4.527